1.
A geometry-optimized PuCu8Ni4 structure, computed with PBE.

```
PuCu8Ni4
1.0
4.5011 0.0000 1.8092
2.2506 5.8964 0.9046
0.0515 0.0000 6.3756
Cu Ni Pu
8 4 1
direct
0.5000 0.7766 0.2234
0.7234 0.7766 0.7766
0.6481 0.3519 0.3519
0.3519 0.6481 0.6481
0.5000 0.2234 0.7766
0.0000 0.3519 0.6481
0.0000 0.6481 0.3519
0.2766 0.2234 0.2234
0.0000 0.0000 0.5000
0.0000 0.5000 0.0000
0.5000 0.5000 0.0000
0.5000 0.0000 0.5000
0.0000 0.0000 0.0000
```

Properties
Uncorrected energy (eV per atom): -5.4279
V (Å³/cell): 168.66
Symmetry: I4/mmm, No. 139



2.
A geometry-optimized Pr2ZnRh structure, computed with PBE.

```
Pr2ZnRh
1.0
-3.9586 1.0608 -0.3309
-2.8658 -2.0715 2.0979
-1.2591 5.7658 8.0025
Pr Zn Rh
2 1 1
direct
0.8869 0.8869 0.3392
0.1131 0.1131 0.6608
0.0000 0.0000 0.0000
0.5000 0.5000 0.5000
```

Properties
Uncorrected energy (eV per atom): -4.6412
V (Å³/cell): 141.36
Symmetry: R-3m, No. 166



3.
A geometry-optimized SrNi6 structure, computed with PBE.

```
SrNi6
1.0
5.4567 0.0000 0.0000
-1.8189 5.1446 0.0000
-1.8189 -2.5723 4.4553
Ni Sr
6 1
direct
0.5000 0.7500 0.2500
0.2500 0.7500 0.5000
0.5000 0.2500 0.7500
0.7500 0.5000 0.2500
0.2500 0.5000 0.7500
0.7500 0.2500 0.5000
0.0000 0.0000 0.0000
```

Properties
Uncorrected energy (eV per atom): -4.7789
V (Å³/cell): 125.07
Symmetry: Im-3m, No. 229



4.
A geometry-optimized SrRe2W structure, computed with PBE.

```
SrRe2W
1.0
7.6154 0.0000 0.0000
0.0000 7.6154 0.0000
3.8077 3.8077 2.9435
W Re Sr
2 4 2
direct
0.7500 0.2500 0.5000
0.0000 0.0000 0.0000
0.8750 0.9331 0.7500
0.3750 0.3169 0.7500
0.6831 0.1250 0.2500
0.0669 0.6250 0.2500
0.5000 0.5000 0.0000
0.2500 0.7500 0.5000
```

Properties
Uncorrected energy (eV per atom): -8.5385
V (Å³/cell): 170.70
Symmetry: I-42d, No. 122



5.
A geometry-optimized Y2InC structure, computed with PBE.

```
Y2InC
1.0
0.0000 3.5267 3.5267
3.5267 0.0000 3.5267
3.5267 3.5267 0.0000
In Y C
1 2 1
direct
0.5000 0.5000 0.5000
0.2500 0.2500 0.2500
0.7500 0.7500 0.7500
0.0000 0.0000 0.0000
```

Properties
Uncorrected energy (eV per atom): -5.6435
V (Å³/cell): 87.73
Symmetry: Fm-3m, No. 225



6.
A geometry-optimized Ac4CuAu3 structure, computed with PBE.

```
Ac4CuAu3
1.0
4.2058 0.0000 0.0000
0.0000 4.8958 0.0000
0.0000 0.0000 11.8221
Ac Au Cu
4 3 1
direct
0.5000 0.5000 0.3607
0.5000 0.0000 0.6362
0.0000 0.5000 0.8673
0.0000 0.0000 0.1351
0.0000 0.5000 0.5871
0.0000 0.0000 0.4140
0.5000 0.0000 0.9225
0.5000 0.5000 0.0770
```

Properties
Uncorrected energy (eV per atom): -4.4410
V (Å³/cell): 243.42
Symmetry: Pmm2, No. 25